<a>
{
  "formula": "VHg3Ge",
  "functional": "PBE",
  "state": "optimized geometry",
  "cell": [[5.254, 0.000, 0.000], [0.000, 5.254, 0.000], [0.000, 0.000, 5.254]],
  "species": ["V", "Hg", "Hg", "Hg", "Ge"],
  "fractional_positions": [[0.000, 0.000, 0.000], [0.000, 0.000, 0.500], [0.000, 0.500, 0.000], [0.500, 0.000, 0.000], [0.500, 0.500, 0.500]],
  "magnetic_moment_mub_per_atom": 0.454,
  "sg": "No. 221"
}


<b>
{
  "formula": "VHg3Ge",
  "functional": "PBE",
  "state": "optimized geometry",
  "cell": [[5.207, 0.000, 0.000], [0.000, 5.207, 0.000], [0.000, 0.000, 5.207]],
  "species": ["V", "Hg", "Hg", "Hg", "Ge"],
  "fractional_positions": [[0.000, 0.000, 0.000], [0.000, 0.500, 0.500], [0.500, 0.000, 0.500], [0.500, 0.500, 0.000], [0.500, 0.500, 0.500]],
  "magnetic_moment_mub_per_atom": 0.878,
  "sg": "No. 221"
}


Preferred: <a>; penalty for the next structure: 7.1 kJ/mol of atoms.


<a>
{
  "formula": "HgGeW2",
  "functional": "PBE",
  "state": "optimized geometry",
  "cell": [[0.000, 3.224, 3.224], [3.224, 0.000, 3.224], [3.224, 3.224, 0.000]],
  "species": ["Hg", "Ge", "W", "W"],
  "fractional_positions": [[0.000, 0.000, 0.000], [0.500, 0.500, 0.500], [0.250, 0.250, 0.250], [0.750, 0.750, 0.750]],
  "magnetic_moment_mub_per_atom": 0.000,
  "sg": "No. 225"
}


<b>
{
  "formula": "HgGeW2",
  "functional": "PBE",
  "state": "optimized geometry",
  "cell": [[-3.683, 3.683, 2.712], [3.683, -3.683, 2.712], [3.683, 3.683, -2.712]],
  "species": ["Hg", "Hg", "Ge", "Ge", "W", "W", "W", "W"],
  "fractional_positions": [[0.000, 0.000, 0.000], [0.750, 0.250, 0.500], [0.250, 0.750, 0.500], [0.500, 0.500, 0.000], [0.163, 0.625, 0.038], [0.375, 0.413, 0.538], [0.587, 0.125, 0.962], [0.875, 0.837, 0.462]],
  "magnetic_moment_mub_per_atom": 0.000,
  "sg": "No. 122"
}


Preferred: <a>; penalty for the next structure: 15.2 kJ/mol of atoms.


<a>
{
  "formula": "YHg3Ge",
  "functional": "PBE",
  "state": "optimized geometry",
  "cell": [[5.200, 0.000, 0.000], [0.000, 5.200, 0.000], [0.000, 0.000, 5.200]],
  "species": ["Y", "Hg", "Hg", "Hg", "Ge"],
  "fractional_positions": [[0.000, 0.000, 0.000], [0.000, 0.500, 0.500], [0.500, 0.000, 0.500], [0.500, 0.500, 0.000], [0.500, 0.500, 0.500]],
  "magnetic_moment_mub_per_atom": 0.000,
  "sg": "No. 221"
}


<b>
{
  "formula": "YHg3Ge",
  "functional": "PBE",
  "state": "optimized geometry",
  "cell": [[5.736, 0.000, 0.000], [0.000, 5.736, 0.000], [0.000, 0.000, 5.736]],
  "species": ["Y", "Hg", "Hg", "Hg", "Ge"],
  "fractional_positions": [[0.000, 0.000, 0.000], [0.000, 0.000, 0.500], [0.000, 0.500, 0.000], [0.500, 0.000, 0.000], [0.500, 0.500, 0.500]],
  "magnetic_moment_mub_per_atom": 0.000,
  "sg": "No. 221"
}


Preferred: <a>; penalty for the next structure: 45.8 kJ/mol of atoms.


<a>
{
  "formula": "ZnHgGe2",
  "functional": "PBE",
  "state": "optimized geometry",
  "cell": [[0.000, 3.433, 3.433], [3.433, 0.000, 3.433], [3.433, 3.433, 0.000]],
  "species": ["Zn", "Hg", "Ge", "Ge"],
  "fractional_positions": [[0.000, 0.000, 0.000], [0.500, 0.500, 0.500], [0.250, 0.250, 0.250], [0.750, 0.750, 0.750]],
  "magnetic_moment_mub_per_atom": 0.000,
  "sg": "No. 225"
}


<b>
{
  "formula": "ZnHgGe2",
  "functional": "PBE",
  "state": "optimized geometry",
  "cell": [[-2.229, 2.229, 8.708], [2.229, -2.229, 8.708], [2.229, 2.229, -8.708]],
  "species": ["Zn", "Zn", "Hg", "Hg", "Ge", "Ge", "Ge", "Ge"],
  "fractional_positions": [[0.000, 0.000, 0.000], [0.750, 0.250, 0.500], [0.250, 0.750, 0.500], [0.500, 0.500, 0.000], [0.067, 0.625, 0.942], [0.375, 0.317, 0.442], [0.683, 0.125, 0.058], [0.875, 0.933, 0.558]],
  "magnetic_moment_mub_per_atom": 0.000,
  "sg": "No. 122"
}


Preferred: <b>; penalty for the next structure: 8.1 kJ/mol of atoms.


<a>
{
  "formula": "ZnHg2Ge",
  "functional": "PBE",
  "state": "optimized geometry",
  "cell": [[-2.167, 2.167, 9.590], [2.167, -2.167, 9.590], [2.167, 2.167, -9.590]],
  "species": ["Zn", "Zn", "Hg", "Hg", "Hg", "Hg", "Ge", "Ge"],
  "fractional_positions": [[0.000, 0.000, 0.000], [0.750, 0.250, 0.500], [0.116, 0.625, 0.991], [0.375, 0.366, 0.491], [0.634, 0.125, 0.009], [0.875, 0.884, 0.509], [0.250, 0.750, 0.500], [0.500, 0.500, 0.000]],
  "magnetic_moment_mub_per_atom": 0.000,
  "sg": "No. 122"
}


<b>
{
  "formula": "ZnHg2Ge",
  "functional": "PBE",
  "state": "optimized geometry",
  "cell": [[0.000, 3.494, 3.494], [3.494, 0.000, 3.494], [3.494, 3.494, 0.000]],
  "species": ["Zn", "Hg", "Hg", "Ge"],
  "fractional_positions": [[0.000, 0.000, 0.000], [0.250, 0.250, 0.250], [0.750, 0.750, 0.750], [0.500, 0.500, 0.500]],
  "magnetic_moment_mub_per_atom": 0.000,
  "sg": "No. 225"
}


Preferred: <a>; penalty for the next structure: 4.0 kJ/mol of atoms.


<a>
{
  "formula": "Zn2Hg2Ge",
  "functional": "PBE",
  "state": "optimized geometry",
  "cell": [[8.236, 0.000, 0.000], [0.000, 8.236, 0.000], [0.000, 0.000, 3.012]],
  "species": ["Zn", "Zn", "Zn", "Zn", "Hg", "Hg", "Hg", "Hg", "Ge", "Ge"],
  "fractional_positions": [[0.118, 0.382, 0.000], [0.382, 0.882, 0.000], [0.618, 0.118, 0.000], [0.882, 0.618, 0.000], [0.182, 0.682, 0.500], [0.318, 0.182, 0.500], [0.682, 0.818, 0.500], [0.818, 0.318, 0.500], [0.000, 0.000, 0.500], [0.500, 0.500, 0.500]],
  "magnetic_moment_mub_per_atom": 0.000,
  "sg": "No. 127"
}


<b>
{
  "formula": "Zn2Hg2Ge",
  "functional": "PBE",
  "state": "optimized geometry",
  "cell": [[6.874, 0.000, 0.000], [0.000, 6.874, 0.000], [0.000, 0.000, 4.376]],
  "species": ["Zn", "Zn", "Zn", "Zn", "Hg", "Hg", "Hg", "Hg", "Ge", "Ge"],
  "fractional_positions": [[0.135, 0.365, 0.000], [0.365, 0.865, 0.000], [0.635, 0.135, 0.000], [0.865, 0.635, 0.000], [0.171, 0.671, 0.500], [0.329, 0.171, 0.500], [0.671, 0.829, 0.500], [0.829, 0.329, 0.500], [0.000, 0.000, 0.000], [0.500, 0.500, 0.000]],
  "magnetic_moment_mub_per_atom": 0.000,
  "sg": "No. 127"
}


<c>
{
  "formula": "Zn2Hg2Ge",
  "functional": "PBE",
  "state": "optimized geometry",
  "cell": [[-1.849, 1.849, 7.671], [1.849, -1.849, 7.671], [1.849, 1.849, -7.671]],
  "species": ["Zn", "Zn", "Hg", "Hg", "Ge"],
  "fractional_positions": [[0.250, 0.750, 0.500], [0.750, 0.250, 0.500], [0.105, 0.105, 0.000], [0.895, 0.895, 0.000], [0.500, 0.500, 0.000]],
  "magnetic_moment_mub_per_atom": 0.000,
  "sg": "No. 139"
}


Preferred: <b>; penalty for the next structure: 4.1 kJ/mol of atoms.